DFT (GGA-PBE) results for crystalline K9Ta2VS12 at its relaxed geometry.

a b c (Å): 9.327 14.408 21.878
angles (deg): 78.38 89.90 89.94
Sites, in units of the cell vectors:
K 0.637 0.691 0.441
K 0.633 0.359 0.108
K 0.637 0.024 0.775
K 0.128 0.810 0.558
K 0.133 0.472 0.224
K 0.130 0.145 0.895
K 0.367 0.970 0.225
K 0.367 0.645 0.889
K 0.369 0.308 0.558
K 0.864 0.865 0.108
K 0.864 0.522 0.779
K 0.863 0.193 0.443
K 0.558 0.958 0.415
K 0.559 0.625 0.082
K 0.561 0.292 0.750
K 0.058 0.208 0.251
K 0.058 0.875 0.919
K 0.059 0.541 0.586
K 0.444 0.433 0.387
K 0.444 0.103 0.055
K 0.444 0.767 0.719
K 0.940 0.729 0.276
K 0.944 0.398 0.948
K 0.940 0.063 0.611
K 0.444 0.703 0.251
K 0.444 0.372 0.920
K 0.443 0.038 0.585
K 0.941 0.459 0.412
K 0.944 0.131 0.081
K 0.939 0.792 0.745
K 0.558 0.235 0.277
K 0.560 0.902 0.945
K 0.560 0.568 0.611
K 0.057 0.933 0.388
K 0.059 0.599 0.056
K 0.059 0.266 0.723
Ta 0.216 0.996 0.747
Ta 0.215 0.663 0.412
Ta 0.284 0.830 0.079
Ta 0.284 0.495 0.747
Ta 0.283 0.162 0.411
Ta 0.786 0.670 0.922
Ta 0.788 0.337 0.588
Ta 0.785 0.005 0.254
V 0.713 0.172 0.922
V 0.712 0.838 0.587
V 0.713 0.503 0.253
V 0.214 0.330 0.080
S 0.826 0.927 0.511
S 0.829 0.591 0.178
S 0.828 0.261 0.847
S 0.336 0.569 0.492
S 0.329 0.243 0.156
S 0.337 0.900 0.826
S 0.165 0.969 0.041
S 0.161 0.632 0.710
S 0.161 0.300 0.374
S 0.668 0.866 0.290
S 0.663 0.533 0.959
S 0.668 0.199 0.624
S 0.161 0.736 0.158
S 0.164 0.398 0.826
S 0.162 0.066 0.491
S 0.663 0.100 0.174
S 0.668 0.765 0.841
S 0.668 0.432 0.508
S 0.827 0.708 0.621
S 0.827 0.372 0.287
S 0.828 0.042 0.957
S 0.336 0.800 0.375
S 0.329 0.461 0.047
S 0.338 0.133 0.710
S 0.500 0.806 0.556
S 0.501 0.472 0.222
S 0.502 0.141 0.891
S 0.992 0.697 0.445
S 0.001 0.361 0.111
S 0.993 0.030 0.781
S 0.506 0.862 0.113
S 0.506 0.530 0.780
S 0.505 0.196 0.445
S 0.009 0.974 0.220
S 0.009 0.635 0.889
S 0.011 0.304 0.554
S 0.693 0.579 0.329
S 0.694 0.248 0.998
S 0.692 0.913 0.663
S 0.192 0.582 0.332
S 0.197 0.254 0.004
S 0.191 0.917 0.667
S 0.310 0.083 0.332
S 0.310 0.749 0.000
S 0.311 0.416 0.667
S 0.809 0.084 0.334
S 0.810 0.751 0.001
S 0.811 0.417 0.668

Values from the calculation:
Total magnetization in μB per formula unit: 0.00
Uncorrected formation energy in meV/atom: -1247
Calculated volume in Å³/f.u.: 719.9
Calculated density in g/cm3: 2.65
Crystal system: triclinic

DFT (GGA-PBE) results for crystalline K2TaV2S6 at its relaxed geometry.

a b c (Å): 5.926 5.926 7.877
angles (deg): 95.84 95.84 120.54
Last column: magnetic moment on the atom in μB.
Sites, in units of the cell vectors:
K 0.829 0.171 0.000  0.00
K 0.171 0.829 0.000  0.00
Ta 0.000 0.000 0.500  0.02
V 0.365 0.635 0.500  0.09
V 0.635 0.365 0.500  0.09
S 0.719 0.719 0.704  0.00
S 0.051 0.397 0.677  0.00
S 0.281 0.281 0.296  0.00
S 0.397 0.051 0.677  0.00
S 0.949 0.603 0.323  0.00
S 0.603 0.949 0.323  0.00

Values from the calculation:
Total magnetization in μB per formula unit: 0.21
Uncorrected formation energy in meV/atom: -1064
Calculated volume in Å³/f.u.: 233.1
Calculated density in g/cm3: 3.94
Crystal system: monoclinic

DFT (GGA-PBE) results for crystalline K3Y3TaS8 at its relaxed geometry.

a b c (Å): 7.846 7.847 8.790
angles (deg): 116.52 90.00 120.00
Last column: magnetic moment on the atom in μB.
Sites, in units of the cell vectors:
K 0.000 0.000 0.000  0.00
K 0.000 0.500 0.000  0.00
K 0.500 0.500 0.000  0.00
Y 0.500 0.000 0.500  0.03
Y 0.500 0.500 0.500  0.03
Y 0.000 0.500 0.500  0.03
Ta 0.000 0.000 0.500  0.54
S 0.265 0.531 0.296  0.00
S 0.735 0.469 0.704  0.00
S 0.782 0.565 0.309  0.00
S 0.218 0.435 0.691  0.00
S 0.783 0.027 0.309  0.00
S 0.217 0.973 0.691  0.00
S 0.244 0.027 0.309  0.00
S 0.756 0.973 0.691  0.00

Values from the calculation:
Total magnetization in μB per formula unit: 0.97
Uncorrected formation energy in meV/atom: -1667
Calculated volume in Å³/f.u.: 401.6
Calculated density in g/cm3: 3.40
Crystal system: trigonal

DFT (GGA-PBE) results for crystalline KTb4S6 at its relaxed geometry.

a b c (Å): 3.968 6.908 20.963
angles (deg): 90.00 90.00 106.69
Sites, in units of the cell vectors:
K 0.651 0.302 0.250
K 0.349 0.698 0.750
Tb 0.869 0.738 0.542
Tb 0.399 0.799 0.134
Tb 0.131 0.262 0.458
Tb 0.601 0.201 0.866
Tb 0.869 0.738 0.958
Tb 0.131 0.262 0.042
Tb 0.601 0.201 0.634
Tb 0.399 0.799 0.366
S 0.500 0.000 0.000
S 0.500 0.000 0.500
S 0.034 0.069 0.347
S 0.966 0.931 0.653
S 0.966 0.931 0.847
S 0.034 0.069 0.153
S 0.772 0.543 0.421
S 0.228 0.457 0.579
S 0.228 0.457 0.921
S 0.772 0.543 0.079
S 0.332 0.664 0.250
S 0.668 0.336 0.750

Values from the calculation:
Total magnetization in μB per formula unit: 0.00
Uncorrected formation energy in meV/atom: -1960
Calculated volume in Å³/f.u.: 275.2
Calculated density in g/cm3: 5.23
Crystal system: orthorhombic

DFT (GGA-PBE) results for crystalline KTb3S4 at its relaxed geometry.

a b c (Å): 3.992 3.992 27.551
angles (deg): 90.00 90.00 120.00
Sites, in units of the cell vectors:
K 0.667 0.333 0.750
K 0.333 0.667 0.250
Tb 0.000 0.000 0.000
Tb 0.000 0.000 0.500
Tb 0.333 0.667 0.885
Tb 0.667 0.333 0.115
Tb 0.667 0.333 0.385
Tb 0.333 0.667 0.615
S 0.667 0.333 0.942
S 0.333 0.667 0.058
S 0.333 0.667 0.442
S 0.667 0.333 0.558
S 0.000 0.000 0.830
S 0.000 0.000 0.170
S 0.000 0.000 0.330
S 0.000 0.000 0.670

Values from the calculation:
Total magnetization in μB per formula unit: 0.00
Uncorrected formation energy in meV/atom: -1938
Calculated volume in Å³/f.u.: 190.1
Calculated density in g/cm3: 5.63
Crystal system: hexagonal

DFT (GGA-PBE) results for crystalline KTb6S8 at its relaxed geometry.

a b c (Å): 7.822 7.822 7.822
angles (deg): 94.40 94.40 94.40
Sites, in units of the cell vectors:
K 0.000 0.000 0.000
Tb 0.622 0.436 0.807
Tb 0.436 0.807 0.622
Tb 0.807 0.622 0.436
Tb 0.378 0.564 0.193
Tb 0.564 0.193 0.378
Tb 0.193 0.378 0.564
S 0.753 0.753 0.753
S 0.247 0.247 0.247
S 0.591 0.853 0.315
S 0.853 0.315 0.591
S 0.315 0.591 0.853
S 0.409 0.147 0.685
S 0.147 0.685 0.409
S 0.685 0.409 0.147

Values from the calculation:
Total magnetization in μB per formula unit: 0.06
Uncorrected formation energy in meV/atom: -1815
Calculated volume in Å³/f.u.: 474.1
Calculated density in g/cm3: 4.38
Crystal system: trigonal

DFT (GGA-PBE) results for crystalline K2TbTeS4 at its relaxed geometry.

a b c (Å): 8.271 8.271 8.249
angles (deg): 116.85 116.85 89.97
Sites, in units of the cell vectors:
K 0.500 0.000 0.000
K 0.500 0.000 0.500
K 0.000 0.000 0.500
K 0.500 0.500 0.000
Tb 0.000 0.500 0.000
Tb 0.000 0.500 0.500
Te 0.500 0.500 0.500
Te 0.000 0.000 0.000
S 0.193 0.729 0.944
S 0.771 0.307 0.556
S 0.229 0.693 0.444
S 0.807 0.271 0.056
S 0.795 0.765 0.012
S 0.735 0.705 0.488
S 0.265 0.295 0.512
S 0.205 0.235 0.988

Values from the calculation:
Total magnetization in μB per formula unit: 0.00
Uncorrected formation energy in meV/atom: -1119
Calculated volume in Å³/f.u.: 217.2
Calculated density in g/cm3: 3.77
Crystal system: monoclinic

DFT (GGA-PBE) results for crystalline K3Tb3TeS8 at its relaxed geometry.

a b c (Å): 8.053 8.053 8.814
angles (deg): 117.20 90.00 120.00
Sites, in units of the cell vectors:
K 0.000 0.000 0.000
K 0.000 0.500 0.000
K 0.500 0.500 0.000
Tb 0.500 0.000 0.500
Tb 0.500 0.500 0.500
Tb 0.000 0.500 0.500
Te 0.000 0.000 0.500
S 0.266 0.533 0.299
S 0.734 0.467 0.701
S 0.772 0.545 0.303
S 0.228 0.455 0.697
S 0.772 0.031 0.303
S 0.228 0.969 0.697
S 0.259 0.031 0.303
S 0.741 0.969 0.697

Values from the calculation:
Total magnetization in μB per formula unit: 0.00
Uncorrected formation energy in meV/atom: -1507
Calculated volume in Å³/f.u.: 420.5
Calculated density in g/cm3: 3.86
Crystal system: trigonal

What is the calculated volume in the seventh record? 217.2 Å³/f.u.

Which of these has the lowest uncorrected formation energy? KTb4S6

Which of these has the highest total magnetization? K3Y3TaS8

The highest calculated volume belongs to which entry? K9Ta2VS12